[1]
VASP calculation (GGA-PBE) on a relaxed structure of LaScBe2Ag.

a b c (Å): 4.8931 5.3275 4.8931
angles (deg): 90.00 90.00 90.00
Site moments in Bohr magnetons follow the coordinates.
Positions (direct):
1 La 0.0000 0.5000 0.0000  0.11
2 Ag 0.5000 0.5000 0.5000  0.00
3 Be 0.0000 0.0000 0.5000  0.00
4 Be 0.5000 0.0000 0.0000  0.00
5 Sc 0.0000 0.0000 0.0000  0.18

Crystal system: tetragonal
DFT total energy (eV/atom): -3.057
Energy of formation from the pure elements (eV per atom): 1.26



[2]
VASP calculation (GGA-PBE) on a relaxed structure of MgTcTeN2.

a b c (Å): 3.9068 3.9068 5.8314
angles (deg): 90.00 90.00 90.00
Site moments in Bohr magnetons follow the coordinates.
Positions (direct):
1 Te 0.0000 0.0000 0.5000  0.00
2 N 0.5000 0.0000 0.0000  0.07
3 N 0.0000 0.5000 0.0000  0.07
4 Tc 0.0000 0.0000 0.0000  -0.07
5 Mg 0.5000 0.5000 0.5000  0.00

Crystal system: tetragonal
Energy relative to the elements, uncorrected (eV/atom): 0.33
DFT total energy (eV/atom): -6.019
Distance to the lowest polymorph of the same formula (meV/atom): 0